Below is a relaxed MgTlCuPd crystal, with properties calculated at the PBE-GGA level.

The structure belongs to space group F-43m (No. 216); the cell edges are 6.5313, 6.5313 and 6.5313 Å and the angles 90.00°, 90.00° and 90.00°. The asymmetric unit holds Mg at (0.0000, 0.0000, 0.0000), Tl at (0.0000, 0.0000, 0.5000), Cu at (0.2500, 0.2500, 0.7500) and Pd at (0.2500, 0.2500, 0.2500).

Its total magnetic moment is 0.00 μB per formula unit. Its final energy is -3.489 eV/atom. Its density of states at the Fermi level is 8.7 states/eV per cell. As for the formation enthalpy at 0 K: -0.1764 eV per atom.

Below is a relaxed AlZn2 crystal, with properties calculated at the PBE-GGA level.

The structure belongs to space group Fm-3m (No. 225); the cell edges are 6.0435, 6.0435 and 6.0435 Å and the angles 90.00°, 90.00° and 90.00°. The asymmetric unit holds Al at (0.0000, 0.0000, 0.0000) and Zn at (0.2500, 0.2500, 0.2500).

Its total magnetic moment is 0.00 μB per formula unit. Its final energy is -1.959 eV/atom. Its density of states at the Fermi level is 3.9 states/eV per cell. As for the formation enthalpy at 0 K: 0.1379 eV per atom.

Below is a relaxed TbSm2Dy3Te6 crystal, with properties calculated at the PBE-GGA level.

The structure belongs to space group C2/m (No. 12); the cell edges are 19.1375, 4.3595 and 8.8309 Å and the angles 90.00°, 103.55° and 90.00°. The asymmetric unit holds Tb at (0.0000, 0.0000, 0.0000), Sm at (0.1681, 0.5000, 0.3352), Dy at (0.0000, 0.0000, 0.5000), Dy at (0.1690, 0.5000, 0.8334), Te at (0.0022, 0.5000, 0.7501), Te at (0.1642, 0.0000, 0.5875) and Te at (0.1659, 0.0000, 0.0777).

Its total magnetic moment is 0.00 μB per formula unit. The energy relative to the elements, uncorrected is -1.320 eV/atom. Its final energy is -5.214 eV/atom. Its density of states at the Fermi level is 12.6 states/eV per cell.

Below is a relaxed YTa2Tc crystal, with properties calculated at the PBE-GGA level.

The structure belongs to space group Immm (No. 71); the cell edges are 3.2513, 4.9085 and 9.8070 Å and the angles 90.00°, 90.00° and 90.00°. The asymmetric unit holds Y at (0.0000, 0.0000, 0.0000), Ta at (0.0000, 0.5000, 0.2213) and Tc at (0.0000, 0.0000, 0.5000).

Its total magnetic moment is 0.00 μB per formula unit. Its final energy is -10.073 eV/atom. Its density of states at the Fermi level is 7.8 states/eV per cell. As for the formation enthalpy at 0 K: 0.0607 eV per atom.

Below is a relaxed LaUCl6 crystal, with properties calculated at the PBE-GGA level.

The structure belongs to space group R-3 (No. 148, hexagonal axes); the cell edges are 6.9850, 6.9850 and 19.3419 Å and the angles 90.00°, 90.00° and 120.00°. The asymmetric unit holds La at (0.0000, 0.0000, 0.0000), U at (0.0000, 0.0000, 0.5000) and Cl at (0.0035, 0.3530, 0.2494).

Its total magnetic moment is 3.26 μB per formula unit. The energy relative to the elements, uncorrected is -1.995 eV/atom. Its final energy is -5.407 eV/atom. Its density of states at the Fermi level is 15.0 states/eV per cell.

Below is a relaxed Li3Mg2Pb3 crystal, with properties calculated at the PBE-GGA level.

The structure belongs to space group Pmmm (No. 47); the cell edges are 4.9653, 5.1240 and 7.2368 Å and the angles 90.00°, 90.00° and 90.00°. The asymmetric unit holds Li at (0.0000, 0.0000, 0.0000), Li at (0.0000, 0.5000, 0.2417), Mg at (0.5000, 0.0000, 0.2366), Pb at (0.0000, 0.0000, 0.5000), Pb at (0.5000, 0.5000, 0.0000) and Pb at (0.5000, 0.5000, 0.5000).

Its total magnetic moment is 0.00 μB per formula unit. Its final energy is -2.693 eV/atom. Its density of states at the Fermi level is 2.6 states/eV per cell. As for the formation enthalpy at 0 K: -0.1860 eV per atom.

Below is a relaxed Tb2NdAg crystal, with properties calculated at the PBE-GGA level.

The structure belongs to space group P4/mmm (No. 123); the cell edges are 5.5357, 5.5357 and 3.6768 Å and the angles 90.00°, 90.00° and 90.00°. The asymmetric unit holds Tb at (0.0000, 0.5000, 0.0000), Nd at (0.0000, 0.0000, 0.5000) and Ag at (0.5000, 0.5000, 0.5000).

Its total magnetic moment is 0.00 μB per formula unit. Its final energy is -4.199 eV/atom. Its density of states at the Fermi level is 5.6 states/eV per cell. As for the formation enthalpy at 0 K: 0.0212 eV per atom.

Below is a relaxed UPdRh crystal, with properties calculated at the PBE-GGA level.

The structure belongs to space group P3m1 (No. 156); the cell edges are 3.7544, 3.7544 and 4.9010 Å and the angles 90.00°, 90.00° and 120.00°. The asymmetric unit holds U at (0.0000, 0.0000, 0.0000), Pd at (0.3333, 0.6667, 0.6445) and Rh at (0.6667, 0.3333, 0.3102).

Its total magnetic moment is 1.12 μB per formula unit. Its final energy is -8.166 eV/atom. Its density of states at the Fermi level is 4.8 states/eV per cell. As for the formation enthalpy at 0 K: -0.2219 eV per atom.

Below is a relaxed Tl7In5 crystal, with properties calculated at the PBE-GGA level.

The structure belongs to space group C2/m (No. 12); the cell edges are 14.3168, 3.4879 and 14.5926 Å and the angles 90.00°, 96.47° and 90.00°. The asymmetric unit holds Tl at (0.0000, 0.0000, 0.0000), Tl at (0.0647, 0.5000, 0.7412), Tl at (0.1614, 0.5000, 0.1743), Tl at (0.1914, 0.0000, 0.5901), In at (0.0000, 0.5000, 0.5000), In at (0.1163, 0.0000, 0.3617) and In at (0.1787, 0.5000, 0.9329).

Its total magnetic moment is 0.00 μB per formula unit. Its final energy is -2.480 eV/atom. Its density of states at the Fermi level is 10.4 states/eV per cell. As for the formation enthalpy at 0 K: 0.0414 eV per atom.

Below is a relaxed LaCePdAu crystal, with properties calculated at the PBE-GGA level.

The structure belongs to space group F-43m (No. 216); the cell edges are 7.3791, 7.3791 and 7.3791 Å and the angles 90.00°, 90.00° and 90.00°. The asymmetric unit holds La at (0.0000, 0.0000, 0.0000), Ce at (0.0000, 0.0000, 0.5000), Pd at (0.2500, 0.2500, 0.2500) and Au at (0.2500, 0.2500, 0.7500).

Its total magnetic moment is 1.18 μB per formula unit. Its final energy is -5.490 eV/atom. Its density of states at the Fermi level is 36.8 states/eV per cell. As for the formation enthalpy at 0 K: -0.6572 eV per atom.

Below is a relaxed Zn2BPF crystal, with properties calculated at the PBE-GGA level.

The structure belongs to space group P4/mmm (No. 123); the cell edges are 4.7033, 4.7033 and 3.7280 Å and the angles 90.00°, 90.00° and 90.00°. The asymmetric unit holds Zn at (0.0000, 0.5000, 0.0000), B at (0.0000, 0.0000, 0.5000), P at (0.5000, 0.5000, 0.0000) and F at (0.5000, 0.5000, 0.5000).

Its total magnetic moment is 0.00 μB per formula unit. The energy relative to the elements, uncorrected is 0.595 eV/atom. Its final energy is -2.706 eV/atom. Its density of states at the Fermi level is 3.9 states/eV per cell.

Below is a relaxed ZrAsBr2O crystal, with properties calculated at the PBE-GGA level.

The structure belongs to space group P4/mmm (No. 123); the cell edges are 5.2776, 5.2776 and 5.3527 Å and the angles 90.00°, 90.00° and 90.00°. The asymmetric unit holds Zr at (0.0000, 0.0000, 0.0000), As at (0.0000, 0.0000, 0.5000), Br at (0.0000, 0.5000, 0.0000) and O at (0.5000, 0.5000, 0.5000).

Its total magnetic moment is 0.82 μB per formula unit. The energy relative to the elements, uncorrected is 0.094 eV/atom. Its final energy is -4.206 eV/atom. Its density of states at the Fermi level is 8.7 states/eV per cell.

What is the formula in the eighth record?
UPdRh

Among the records above, which one has the highest density of states at the Fermi level?
LaCePdAu

Which value of density of states at the Fermi level does entry 11 give?
3.9 states/eV per cell